# PBE with a Hubbard U NiRu2AuF, optimized geometry
# VASP energy (eV/f.u.): -21.55
# Calculated density (g cm⁻³): 10.78
# N(E_F) (states/eV/f.u.): 4.72
data_NiRu2AuF
_chemical_formula_sum 'Ni1 Ru2 Au1 F1'
_cell_length_a 4.1511
_cell_length_b 4.1511
_cell_length_c 4.2623
_cell_angle_alpha 90.00
_cell_angle_beta 90.00
_cell_angle_gamma 90.00
_space_group_name_H-M_alt 'P 4/m m m'
_space_group_IT_number 123
_space_group_name_Hall '-P 4 2'
loop_
_atom_site_label
_atom_site_fract_x
_atom_site_fract_y
_atom_site_fract_z
Ni1 0.0000 0.0000 0.0000
Ru1 0.0000 0.5000 0.5000
Au1 0.5000 0.5000 0.0000
F1 0.0000 0.0000 0.5000